# TlHgOs4

An optimized crystal structure of TlHgOs4 (GGA-PBE, the Alexandria database).

```
TlHgOs4
1.0
0.0000 3.7575 3.7575
3.7575 0.0000 3.7575
3.7575 3.7575 0.0000
Os Hg Tl
4 1 1
Direct
0.3749 0.3749 0.8754
0.3749 0.3749 0.3749
0.8754 0.3749 0.3749
0.3749 0.8754 0.3749
0.0000 0.0000 0.0000
0.7500 0.7500 0.7500
```

Output
E_form	1.09	eV per atom